The following is a DFT calculation (PBE) of a geometry-optimized AcRhSe structure.

a = 4.4657 Å, b = 4.4657 Å, c = 4.0637 Å
α = 90.00°, β = 90.00°, γ = 120.00°
Space group P3m1 (No. 156)
One atom of each set of equivalent atoms:
Ac: 0.0000 0.0000 0.0000 x1
Rh: 0.6667 0.3333 0.4944 x1
Se: 0.3333 0.6667 0.5027 x1

## Properties
- relative energy among the computed polymorphs (eV/atom) = 0.000
- density (g/cm3) = 9.67
- E_tot (eV/atom) = -6.212